Below is a geometry-optimized ErGa4Pd structure, with properties calculated at the PBE level.

Cell: 5.681 6.653 7.290 Å, 107.39 90.56 114.99°
Positions (direct):
Er  0.022  0.002  0.250
Er  0.978  0.998  0.750
Ga  0.077  0.436  0.648
Ga  0.359  0.432  0.146
Ga  0.392  0.843  0.579
Ga  0.451  0.843  0.080
Ga  0.549  0.157  0.920
Ga  0.608  0.157  0.421
Ga  0.641  0.568  0.854
Ga  0.923  0.564  0.352
Pd  0.000  0.500  0.000
Pd  0.500  0.500  0.500

As for the space group: No. 2. Its size of the total moment is 0.00 μB per formula unit. For the total DFT energy (no corrections), the calculation gives -48.5 eV/cell. The value obtained for the formation energy is -0.396 eV/atom.


Below is a geometry-optimized ErGa4Pd6 structure, with properties calculated at the PBE level.

Cell: 7.686 7.686 7.686 Å, 139.80 139.80 58.16°
Positions (direct):
Er  0.000  0.000  0.000
Ga  0.175  0.553  0.000
Ga  0.447  0.447  0.622
Ga  0.553  0.175  0.000
Ga  0.825  0.825  0.378
Pd  0.000  0.500  0.500
Pd  0.037  0.037  0.429
Pd  0.392  0.963  0.000
Pd  0.500  0.000  0.500
Pd  0.608  0.608  0.571
Pd  0.963  0.392  0.000

As for the space group: No. 121. Its size of the total moment is 0.00 μB per formula unit. For the total DFT energy (no corrections), the calculation gives -54.2 eV/cell. The value obtained for the formation energy is -0.580 eV/atom. The energy relative to the lowest polymorph listed for this composition comes out at 169 meV per atom.


Below is a geometry-optimized Er4GaPd2 structure, with properties calculated at the PBE level.

Cell: 8.507 8.507 8.507 Å, 33.55 33.55 33.55°
Positions (direct):
Er  0.121  0.121  0.121
Er  0.373  0.373  0.373
Er  0.627  0.627  0.627
Er  0.879  0.879  0.879
Ga  0.500  0.500  0.500
Pd  0.250  0.250  0.250
Pd  0.750  0.750  0.750

As for the space group: No. 166. Its size of the total moment is 0.00 μB per formula unit. For the total DFT energy (no corrections), the calculation gives -36.2 eV/cell. The value obtained for the formation energy is -0.650 eV/atom. The energy relative to the lowest polymorph listed for this composition comes out at 0 meV per atom.


Below is a geometry-optimized ErGaPd3 structure, with properties calculated at the PBE level.

Cell: 9.194 9.194 9.194 Å, 147.56 147.56 46.54°
Positions (direct):
Er  0.114  0.114  0.000
Er  0.886  0.886  0.000
Ga  0.250  0.750  0.500
Ga  0.500  0.500  0.000
Pd  0.373  0.126  0.753
Pd  0.373  0.620  0.247
Pd  0.380  0.627  0.753
Pd  0.529  0.029  0.500
Pd  0.874  0.627  0.247
Pd  0.971  0.471  0.500

As for the space group: No. 119. Its size of the total moment is 0.00 μB per formula unit. For the total DFT energy (no corrections), the calculation gives -50.8 eV/cell. The value obtained for the formation energy is -0.445 eV/atom.


Below is a geometry-optimized Er4Ga6Pd7 structure, with properties calculated at the PBE level.

Cell: 7.374 7.374 7.374 Å, 109.47 109.47 109.47°
Positions (direct):
Er  0.000  0.000  0.500
Er  0.000  0.500  0.000
Er  0.500  0.000  0.000
Er  0.500  0.500  0.500
Ga  0.000  0.318  0.318
Ga  0.000  0.682  0.682
Ga  0.318  0.000  0.318
Ga  0.318  0.318  0.000
Ga  0.682  0.000  0.682
Ga  0.682  0.682  0.000
Pd  0.000  0.000  0.000
Pd  0.250  0.500  0.750
Pd  0.250  0.750  0.500
Pd  0.500  0.250  0.750
Pd  0.500  0.750  0.250
Pd  0.750  0.250  0.500
Pd  0.750  0.500  0.250

As for the space group: No. 229. Its size of the total moment is 0.00 μB per formula unit. For the total DFT energy (no corrections), the calculation gives -87.2 eV/cell. The value obtained for the formation energy is -0.852 eV/atom.


Below is a geometry-optimized ErGa2Pd structure, with properties calculated at the PBE level.

Cell: 3.280 3.280 6.821 Å, 90.00 90.00 90.00°
Positions (direct):
Er  0.000  0.000  0.000
Ga  0.500  0.500  0.295
Ga  0.500  0.500  0.705
Pd  0.000  0.000  0.500

As for the space group: No. 123. Its size of the total moment is 0.22 μB per formula unit. For the total DFT energy (no corrections), the calculation gives -18.2 eV/cell. The value obtained for the formation energy is -0.591 eV/atom.


Below is a geometry-optimized ErGa2Pd structure, with properties calculated at the PBE level.

Cell: 8.193 6.738 5.449 Å, 90.00 90.00 90.00°
Positions (direct):
Er  0.038  0.250  0.128
Er  0.462  0.750  0.628
Er  0.538  0.250  0.372
Er  0.962  0.750  0.872
Ga  0.192  0.052  0.619
Ga  0.192  0.448  0.619
Ga  0.308  0.552  0.119
Ga  0.308  0.948  0.119
Ga  0.692  0.052  0.881
Ga  0.692  0.448  0.881
Ga  0.808  0.552  0.381
Ga  0.808  0.948  0.381
Pd  0.085  0.750  0.367
Pd  0.415  0.250  0.867
Pd  0.585  0.750  0.133
Pd  0.915  0.250  0.633

As for the space group: No. 62. Its size of the total moment is 0.00 μB per formula unit. For the total DFT energy (no corrections), the calculation gives -74.9 eV/cell. The value obtained for the formation energy is -0.726 eV/atom.


Below is a geometry-optimized Er3GaPd2 structure, with properties calculated at the PBE level.

Cell: 3.470 3.470 10.710 Å, 90.00 90.00 90.00°
Positions (direct):
Er  0.000  0.000  0.000
Er  0.000  0.000  0.326
Er  0.000  0.000  0.674
Ga  0.500  0.500  0.500
Pd  0.500  0.500  0.167
Pd  0.500  0.500  0.833

As for the space group: No. 123. Its size of the total moment is 0.00 μB per formula unit. For the total DFT energy (no corrections), the calculation gives -32.0 eV/cell. The value obtained for the formation energy is -0.816 eV/atom.


Below is a geometry-optimized ErGa3Pd2 structure, with properties calculated at the PBE level.

Cell: 8.023 8.023 8.023 Å, 149.06 123.55 65.77°
Positions (direct):
Er  0.130  0.130  0.000
Er  0.870  0.870  0.000
Ga  0.114  0.323  0.792
Ga  0.339  0.000  0.339
Ga  0.469  0.677  0.792
Ga  0.531  0.323  0.208
Ga  0.661  0.000  0.661
Ga  0.886  0.677  0.208
Pd  0.178  0.500  0.678
Pd  0.306  0.806  0.500
Pd  0.694  0.194  0.500
Pd  0.822  0.500  0.322

As for the space group: No. 71. Its size of the total moment is 0.00 μB per formula unit. For the total DFT energy (no corrections), the calculation gives -56.2 eV/cell. The value obtained for the formation energy is -0.675 eV/atom.


Below is a geometry-optimized ErGa2Pd structure, with properties calculated at the PBE level.

Cell: 4.682 4.682 4.682 Å, 60.00 60.00 60.00°
Positions (direct):
Er  0.000  0.000  0.000
Ga  0.250  0.250  0.250
Ga  0.750  0.750  0.750
Pd  0.500  0.500  0.500

As for the space group: No. 225. Its size of the total moment is 0.00 μB per formula unit. For the total DFT energy (no corrections), the calculation gives -18.2 eV/cell. The value obtained for the formation energy is -0.586 eV/atom.


Below is a geometry-optimized Er7Ga2Pd2 structure, with properties calculated at the PBE level.

Cell: 6.652 6.652 6.979 Å, 90.00 90.00 108.35°
Positions (direct):
Er  0.000  0.000  0.000
Er  0.000  0.500  0.265
Er  0.000  0.500  0.735
Er  0.500  0.000  0.265
Er  0.500  0.000  0.735
Er  0.500  0.500  0.259
Er  0.500  0.500  0.741
Ga  0.167  0.167  0.500
Ga  0.833  0.833  0.500
Pd  0.293  0.707  0.000
Pd  0.707  0.293  0.000

As for the space group: No. 65. Its size of the total moment is 0.00 μB per formula unit. For the total DFT energy (no corrections), the calculation gives -52.5 eV/cell. The value obtained for the formation energy is -0.371 eV/atom.